(1)
{
  "formula": "NdCdBi2",
  "functional": "PBE",
  "state": "relaxed",
  "n_ef_per_ev_cell": 3.1,
  "e_tot_ev_per_atom": -3.756,
  "sg": "P4/mmm, No. 123",
  "cell": [[-2.285, -2.884, -2.073], [-1.801, -1.183, 3.632], [-4.877, 4.540, -0.940]],
  "species": ["Nd", "Bi", "Bi", "Cd"],
  "frac_coords": [[0.500, 0.500, 0.000], [0.000, 0.000, 0.753], [0.000, 0.000, 0.247], [0.500, 0.500, 0.500]]
}

***

(2)
{
  "formula": "NdCdBi2",
  "functional": "PBE",
  "state": "relaxed",
  "n_ef_per_ev_cell": 2.5,
  "e_tot_ev_per_atom": -3.814,
  "sg": "P4/mmm, No. 123",
  "cell": [[4.419, 0.000, 0.000], [0.000, 5.126, 0.000], [0.000, 0.000, 5.126]],
  "species": ["Nd", "Bi", "Bi", "Cd"],
  "frac_coords": [[0.500, 0.500, 0.500], [0.000, 0.000, 0.500], [0.000, 0.500, 0.000], [0.500, 0.000, 0.000]]
}

***

(3)
{
  "formula": "NdCdBi2",
  "functional": "PBE",
  "state": "relaxed",
  "n_ef_per_ev_cell": 2.1,
  "e_tot_ev_per_atom": -3.639,
  "sg": "R3m, No. 160",
  "cell": [[-4.326, -1.804, -0.408], [-1.705, -1.085, -4.249], [0.612, -7.386, -0.964]],
  "species": ["Nd", "Cd", "Bi", "Bi"],
  "frac_coords": [[0.668, 0.668, 0.997], [0.497, 0.497, 0.509], [0.086, 0.086, 0.741], [0.249, 0.249, 0.253]]
}

***

(4)
{
  "formula": "NdCd4Bi",
  "functional": "PBE",
  "state": "relaxed",
  "n_ef_per_ev_cell": 3.2,
  "e_tot_ev_per_atom": -2.195,
  "sg": "F-43m, No. 216",
  "cell": [[-4.259, -4.162, 0.976], [1.032, -4.527, 3.855], [-2.892, -0.173, 5.293]],
  "species": ["Nd", "Bi", "Cd", "Cd", "Cd", "Cd"],
  "frac_coords": [[0.000, 0.000, 0.000], [0.250, 0.250, 0.250], [0.625, 0.625, 0.125], [0.625, 0.125, 0.625], [0.625, 0.625, 0.625], [0.125, 0.625, 0.625]]
}